a:
## BaCdSnHg (PBE)

Data for an optimized crystal structure of BaCdSnHg.

Computed properties:
Spin magnetization, μB per cell: 0.0

a = 5.546 Å, b = 5.546 Å, c = 5.546 Å
α = 60.00°, β = 60.00°, γ = 60.00°
Element x y z (fractional)
1 Ba 0.000 0.000 0.000
2 Cd 0.750 0.750 0.750
3 Sn 0.500 0.500 0.500
4 Hg 0.250 0.250 0.250

***

b:
## BaCdSnHg (PBE)

Data for an optimized crystal structure of BaCdSnHg.

Computed properties:
Spin magnetization, μB per cell: 0.0

a = 6.651 Å, b = 6.651 Å, c = 6.651 Å
α = 44.51°, β = 44.51°, γ = 44.51°
Element x y z (fractional)
1 Ba 0.000 0.000 0.000
2 Cd 0.792 0.792 0.792
3 Sn 0.474 0.474 0.474
4 Hg 0.232 0.232 0.232

***

The structure with the greatest stability is b.